The following is a DFT calculation (PBE with a Hubbard U) of a relaxed ScFeO3 crystal.

## Properties
* energy: -7.83 eV per atom

```
ScFeO3
1.0
3.362 0.000 0.000
-1.681 2.911 0.000
0.000 0.000 11.942
Sc Fe O
2 2 6
direct
0.000 0.000 0.000
0.000 0.000 0.500
0.333 0.667 0.250
0.667 0.333 0.750
0.000 0.000 0.250
0.000 0.000 0.750
0.333 0.667 0.082
0.333 0.667 0.418
0.667 0.333 0.582
0.667 0.333 0.918
```